TbY3Zr2N6 | Alexandria | GGA-PBE | relaxed; calculated density = 6.9 g/cm³; D(E_F) = 2.79 states/eV per cell; formation energy (no corrections) = -1.705 eV/atom; E = -9.295 eV per atom
1.0
-0.982 1.554 -2.851
-6.514 -1.262 1.556
1.770 5.802 4.572
N Zr Y Tb
6 2 3 1
direct
0.993 0.745 0.986
0.668 0.099 0.336
0.671 0.574 0.343
0.007 0.255 0.014
0.329 0.426 0.657
0.332 0.901 0.664
0.167 0.335 0.334
0.833 0.665 0.666
0.167 0.833 0.334
0.500 0.500 0.000
0.833 0.167 0.666
0.500 0.000 0.000